FeCl2F2: relaxed, PBE+U.

POSCAR file:
```
FeCl2F2
1.0
-0.2766 2.8349 4.8624
3.7811 -3.5125 2.2630
4.9801 4.0297 -2.0661
F Fe Cl
4 2 4
Cartesian
2.8038 -1.9329 2.9884
2.5853 -0.4409 5.3716
0.7006 1.2552 4.1369
0.9192 -0.2368 1.7538
0.0000 0.0000 0.0000
1.7522 -0.3388 3.5627
4.8207 0.1735 0.9932
5.6233 0.7168 3.9875
3.6639 3.1786 4.0661
2.8613 2.6353 1.0717
```

Values from the calculation:
* DOS(E_F): 0.00 states/eV/atom
* magnetization: 4.00 μB/f.u.
* V: 21.4 A^3/atom
* symmetry: P4/mbm, No. 127
* total DFT energy (no corrections): -3.92 eV/atom